1.
A plane-wave DFT calculation with PBE was carried out for a relaxed Al2Cl crystal.

Unit cell a=7.8668 b=7.8668 c=5.2847 alpha=90.00 beta=90.00 gamma=157.03
Positions (direct):
Al: 0.1202 0.8798 0.7500
Al: 0.2304 0.7696 0.2500
Al: 0.7696 0.2304 0.7500
Al: 0.8798 0.1202 0.2500
Cl: 0.4021 0.5979 0.7500
Cl: 0.5979 0.4021 0.2500

energy above the most stable polymorph in this dataset = 415 meV/atom

***

2.
A plane-wave DFT calculation with PBE was carried out for a relaxed LaTb3Y6 crystal.

Unit cell a=6.9280 b=6.9280 c=6.9280 alpha=91.45 beta=91.45 gamma=91.45
Positions (direct):
La: 0.0000 0.0000 0.0000
Tb: 0.2509 0.2509 0.2509
Tb: 0.4991 0.4991 0.4991
Tb: 0.7451 0.7451 0.7451
Y: 0.0017 0.3327 0.6684
Y: 0.1736 0.8277 0.5019
Y: 0.3327 0.6684 0.0017
Y: 0.5019 0.1736 0.8277
Y: 0.6684 0.0017 0.3327
Y: 0.8277 0.5019 0.1736

energy relative to the elements = 2.593 eV/f.u.
energy above the most stable polymorph in this dataset = 116 meV/atom

***

3.
A plane-wave DFT calculation with PBE was carried out for a relaxed Cr2SiRu crystal.

Unit cell a=4.6709 b=4.6709 c=2.6489 alpha=96.07 beta=96.07 gamma=118.28
Positions (direct):
Cr: 0.0000 0.5000 0.0000
Cr: 0.5000 0.0000 0.0000
Si: 0.0000 0.0000 0.5000
Ru: 0.5000 0.5000 0.5000

energy = -34.20 eV per cell

***

4.
A plane-wave DFT calculation with PBE was carried out for a relaxed Ce4TeIr2 crystal.

Unit cell a=7.7770 b=7.7770 c=7.7770 alpha=107.39 beta=107.39 gamma=113.71
Positions (direct):
Ce: 0.0080 0.7551 0.1030
Ce: 0.0950 0.9920 0.7471
Ce: 0.0979 0.4949 0.7529
Ce: 0.2449 0.3479 0.2529
Ce: 0.5051 0.2580 0.6030
Ce: 0.6521 0.9050 0.8970
Ce: 0.6550 0.9021 0.3970
Ce: 0.7420 0.3450 0.2471
Te: 0.2500 0.7500 0.5000
Te: 0.5000 0.5000 0.0000
Ir: 0.0034 0.1250 0.3784
Ir: 0.3750 0.9966 0.1216
Ir: 0.7466 0.6250 0.6216
Ir: 0.8750 0.2534 0.8784

energy = -100.30 eV per cell

***

5.
A plane-wave DFT calculation with PBE was carried out for a relaxed YZr2Mo crystal.

Unit cell a=3.1841 b=4.7357 c=6.2224 alpha=90.00 beta=104.75 gamma=90.00
Positions (direct):
Y: 0.0000 0.0000 0.0000
Zr: 0.1968 0.0000 0.5332
Zr: 0.6172 0.5000 0.3015
Mo: 0.5506 0.5000 0.7394

energy relative to the elements = 0.841 eV/f.u.
energy above the most stable polymorph in this dataset = 141 meV/atom

***

6.
A plane-wave DFT calculation with PBE was carried out for a relaxed Sc3TlH crystal.

Unit cell a=8.4442 b=8.4442 c=6.3194 alpha=100.65 beta=100.65 gamma=68.10
Positions (direct):
Sc: 0.1568 0.1738 0.8336
Sc: 0.1607 0.8354 0.5105
Sc: 0.1646 0.8393 0.9895
Sc: 0.1738 0.1568 0.3336
Sc: 0.1876 0.4997 0.6708
Sc: 0.4997 0.1876 0.1708
Sc: 0.5003 0.8124 0.8292
Sc: 0.8124 0.5003 0.3292
Sc: 0.8262 0.8432 0.6664
Sc: 0.8354 0.1607 0.0105
Sc: 0.8393 0.1646 0.4895
Sc: 0.8432 0.8262 0.1664
Tl: 0.1716 0.5011 0.1750
Tl: 0.4989 0.8284 0.3250
Tl: 0.5011 0.1716 0.6750
Tl: 0.8284 0.4989 0.8250
H: 0.0089 0.9911 0.2500
H: 0.3147 0.6853 0.7500
H: 0.6853 0.3147 0.2500
H: 0.9911 0.0089 0.7500

energy above the most stable polymorph in this dataset = 157 meV/atom

***

7.
A plane-wave DFT calculation with PBE was carried out for a relaxed TaTl2Br crystal.

Unit cell a=3.3483 b=3.3483 c=11.2874 alpha=90.00 beta=90.00 gamma=122.32
Positions (direct):
Ta: 0.0000 0.0000 0.0000
Tl: 0.0000 0.0000 0.4810
Tl: 0.5000 0.5000 0.2240
Br: 0.5000 0.5000 0.8172

energy above the most stable polymorph in this dataset = 148 meV/atom

***

8.
A plane-wave DFT calculation with PBE was carried out for a relaxed Zr6Co3N crystal.

Unit cell a=5.8296 b=6.6708 c=10.5030 alpha=90.00 beta=120.82 gamma=90.00
Positions (direct):
Zr: 0.0842 0.0450 0.2382
Zr: 0.0842 0.4550 0.7382
Zr: 0.2140 0.6921 0.0704
Zr: 0.2140 0.8079 0.5704
Zr: 0.3853 0.1618 0.0625
Zr: 0.3853 0.3382 0.5625
Zr: 0.6147 0.6618 0.4375
Zr: 0.6147 0.8382 0.9375
Zr: 0.7860 0.1921 0.4296
Zr: 0.7860 0.3079 0.9296
Zr: 0.9158 0.5450 0.2618
Zr: 0.9158 0.9550 0.7618
Co: 0.3150 0.1132 0.7469
Co: 0.3150 0.3868 0.2469
Co: 0.5000 0.0000 0.5000
Co: 0.5000 0.5000 0.0000
Co: 0.6850 0.6132 0.7531
Co: 0.6850 0.8868 0.2531
N: 0.0000 0.0000 0.0000
N: 0.0000 0.5000 0.5000

energy = -171.39 eV per cell

***

9.
A plane-wave DFT calculation with PBE was carried out for a relaxed Ac12In6Sn crystal.

Unit cell a=9.7987 b=9.7987 c=9.7987 alpha=107.81 beta=107.81 gamma=107.81
Positions (direct):
Ac: 0.0171 0.8819 0.3111
Ac: 0.1031 0.3488 0.4525
Ac: 0.1181 0.6889 0.9829
Ac: 0.3111 0.0171 0.8819
Ac: 0.3488 0.4525 0.1031
Ac: 0.4525 0.1031 0.3488
Ac: 0.5475 0.8969 0.6512
Ac: 0.6512 0.5475 0.8969
Ac: 0.6889 0.9829 0.1181
Ac: 0.8819 0.3111 0.0171
Ac: 0.8969 0.6512 0.5475
Ac: 0.9829 0.1181 0.6889
In: 0.1950 0.6456 0.3374
In: 0.3374 0.1950 0.6456
In: 0.3544 0.6626 0.8050
In: 0.6456 0.3374 0.1950
In: 0.6626 0.8050 0.3544
In: 0.8050 0.3544 0.6626
Sn: 0.0000 0.0000 0.0000

energy relative to the elements = -2.812 eV/f.u.

***

10.
A plane-wave DFT calculation with PBE was carried out for a relaxed Al2ReSb crystal.

Unit cell a=3.3830 b=3.3830 c=6.1255 alpha=90.00 beta=90.00 gamma=90.00
Positions (direct):
Al: 0.0000 0.0000 0.0000
Al: 0.5000 0.5000 0.2373
Re: 0.0000 0.0000 0.4271
Sb: 0.5000 0.5000 0.7046

energy = -23.09 eV per cell

***

11.
A plane-wave DFT calculation with PBE was carried out for a relaxed MgSbO2F crystal.

Unit cell a=4.2692 b=4.2692 c=4.3539 alpha=90.00 beta=90.00 gamma=90.00
Positions (direct):
Mg: 0.0000 0.0000 0.0000
Sb: 0.5000 0.5000 0.5000
O: 0.0000 0.5000 0.5000
O: 0.5000 0.0000 0.5000
F: 0.5000 0.5000 0.0000

energy = -23.57 eV per cell

***

12.
A plane-wave DFT calculation with PBE was carried out for a relaxed CeAl3Fe crystal.

Unit cell a=4.5374 b=4.5374 c=4.5374 alpha=90.00 beta=90.00 gamma=90.00
Positions (direct):
Ce: 0.0000 0.0000 0.0000
Al: 0.0000 0.5000 0.5000
Al: 0.5000 0.0000 0.5000
Al: 0.5000 0.5000 0.0000
Fe: 0.5000 0.5000 0.5000

energy relative to the elements = -1.685 eV/f.u.
energy above the most stable polymorph in this dataset = 67 meV/atom

***

13.
A plane-wave DFT calculation with PBE was carried out for a relaxed AlTcAu2 crystal.

Unit cell a=2.8293 b=2.8293 c=8.1012 alpha=90.00 beta=90.00 gamma=90.00
Positions (direct):
Al: 0.0000 0.0000 0.0000
Tc: 0.5000 0.5000 0.7813
Au: 0.0000 0.0000 0.5287
Au: 0.5000 0.5000 0.2396

energy relative to the elements = -0.152 eV/f.u.

***

14.
A plane-wave DFT calculation with PBE was carried out for a relaxed TlAgICl2 crystal.

Unit cell a=5.1416 b=5.1416 c=5.7526 alpha=90.00 beta=90.00 gamma=90.00
Positions (direct):
Tl: 0.0000 0.0000 0.0000
Ag: 0.5000 0.5000 0.5000
I: 0.5000 0.5000 0.0000
Cl: 0.0000 0.5000 0.5000
Cl: 0.5000 0.0000 0.5000

energy above the most stable polymorph in this dataset = 15 meV/atom

***

15.
A plane-wave DFT calculation with PBE was carried out for a relaxed GaRe2W crystal.

Unit cell a=3.1618 b=3.1618 c=6.0606 alpha=90.00 beta=90.00 gamma=90.00
Positions (direct):
Ga: 0.0000 0.0000 0.0000
Re: 0.5000 0.5000 0.2463
Re: 0.5000 0.5000 0.7537
W: 0.0000 0.0000 0.5000

energy relative to the elements = 0.329 eV/f.u.

***

16.
A plane-wave DFT calculation with PBE was carried out for a relaxed PmGaTe2 crystal.

Unit cell a=6.2356 b=4.4488 c=8.7763 alpha=90.00 beta=110.39 gamma=90.00
Positions (direct):
Pm: 0.1309 0.2500 0.2908
Pm: 0.8691 0.7500 0.7092
Ga: 0.2594 0.2500 0.8110
Ga: 0.7406 0.7500 0.1890
Te: 0.2708 0.7500 0.0725
Te: 0.2959 0.7500 0.5739
Te: 0.7041 0.2500 0.4261
Te: 0.7292 0.2500 0.9275

energy = -36.11 eV per cell

***

17.
A plane-wave DFT calculation with PBE was carried out for a relaxed KBe2Cu crystal.

Unit cell a=2.8556 b=2.8556 c=7.7091 alpha=90.00 beta=90.00 gamma=90.00
Positions (direct):
K: 0.0000 0.0000 0.0000
Be: 0.0000 0.0000 0.4777
Be: 0.5000 0.5000 0.3472
Cu: 0.5000 0.5000 0.6382

energy relative to the elements = 2.186 eV/f.u.
energy above the most stable polymorph in this dataset = 323 meV/atom

***

18.
A plane-wave DFT calculation with PBE was carried out for a relaxed Tb6TlSi2S3 crystal.

Unit cell a=9.2776 b=9.2776 c=8.2909 alpha=107.43 beta=107.43 gamma=25.25
Positions (direct):
Tb: 0.0051 0.0051 0.2267
Tb: 0.3252 0.3252 0.4184
Tb: 0.3305 0.3305 0.9273
Tb: 0.6695 0.6695 0.0727
Tb: 0.6748 0.6748 0.5816
Tb: 0.9949 0.9949 0.7733
Tl: 0.5000 0.5000 0.5000
Si: 0.1615 0.1615 0.8192
Si: 0.8385 0.8385 0.1808
S: 0.1675 0.1675 0.3256
S: 0.5000 0.5000 0.0000
S: 0.8325 0.8325 0.6744

energy = -68.67 eV per cell

***

19.
A plane-wave DFT calculation with PBE was carried out for a relaxed LaPr2SmSc crystal.

Unit cell a=6.3885 b=7.9167 c=6.7235 alpha=90.00 beta=90.00 gamma=90.00
Positions (direct):
La: 0.2500 0.0000 0.1910
La: 0.7500 0.0000 0.8090
Pr: 0.2500 0.2062 0.7135
Pr: 0.2500 0.7938 0.7135
Pr: 0.7500 0.2062 0.2865
Pr: 0.7500 0.7938 0.2865
Sm: 0.2500 0.5000 0.0916
Sm: 0.7500 0.5000 0.9084
Sc: 0.0000 0.5000 0.5000
Sc: 0.5000 0.5000 0.5000

energy relative to the elements = 0.850 eV/f.u.

***

20.
A plane-wave DFT calculation with PBE was carried out for a relaxed BeFeCo2 crystal.

Unit cell a=5.1952 b=5.1952 c=5.1952 alpha=153.08 beta=136.17 gamma=52.19
Positions (direct):
Be: 0.0000 0.0000 0.0000
Fe: 0.5000 0.5000 0.0000
Co: 0.2140 0.2140 0.0000
Co: 0.7860 0.7860 0.0000

energy relative to the elements = 1.211 eV/f.u.